A relaxed structure of AcThV2O8, computed with PBE with a Hubbard U.

Calculated values
SG = I-4m2
calculated density = 5.984 g cm⁻³
uncorrected energy = -8.31 eV/atom

a b c (Å): 6.309 6.309 6.309
angles (deg): 106.14 106.14 116.35
Each line ends with the local moment (μB).
Fractional positions:
V  0.500  0.500  0.000  0.97
V  0.750  0.250  0.500  0.02
O  0.769  0.088  0.681  0.00
O  0.912  0.593  0.681  0.00
O  0.305  0.135  0.829  -0.01
O  0.524  0.695  0.829  -0.01
O  0.912  0.231  0.319  0.00
O  0.305  0.476  0.171  -0.01
O  0.865  0.695  0.171  -0.01
O  0.407  0.088  0.319  0.00
Ac  0.250  0.750  0.500  0.00
Th  0.000  0.000  0.000  0.01